1.
! Fe2CuRu PBE optimized geometry; values from VASP
! energy: -7.392 eV/atom
! offset from the most stable computed form: 0.018 eV/atom
! formation enthalpy at 0 K: 0.729 eV/f.u.
! total magnetic moment: 4.8 μB per cell
! DOS(E_F): 4.669 states/eV/f.u.
&SYSTEM
  ibrav = 0, nat = 4, ntyp = 3
/
ATOMIC_SPECIES
Fe 55.84 Fe.upf
Cu 63.55 Cu.upf
Ru 101.07 Ru.upf
CELL_PARAMETERS angstrom
1.312 0.757 8.458
-1.312 0.757 8.458
0.000 -1.514 8.458
ATOMIC_POSITIONS angstrom
Fe 0.000 0.000 0.000
Fe 0.000 0.000 6.378
Cu 0.000 0.000 18.999
Ru 0.000 0.000 12.782



2.
! HgRhPb2 PBE optimized geometry; values from VASP
! energy: -3.788 eV/atom
! formation enthalpy at 0 K: -0.083 eV/f.u.
! total magnetic moment: 0.0 μB per cell
! DOS(E_F): 2.366 states/eV/f.u.
&SYSTEM
  ibrav = 0, nat = 4, ntyp = 3
/
ATOMIC_SPECIES
Hg 200.59 Hg.upf
Rh 102.91 Rh.upf
Pb 207.20 Pb.upf
CELL_PARAMETERS angstrom
3.355 0.000 0.000
0.000 3.355 0.000
-0.144 0.000 8.848
ATOMIC_POSITIONS angstrom
Hg 0.000 0.000 0.000
Rh -0.072 0.000 4.424
Pb 1.609 1.678 2.688
Pb 1.602 1.678 6.160



3.
! LiCdHgAs PBE optimized geometry; values from VASP
! energy: -2.125 eV/atom
! formation enthalpy at 0 K: -0.720 eV/f.u.
! total magnetic moment: 0.0 μB per cell
! DOS(E_F): 0.356 states/eV/f.u.
&SYSTEM
  ibrav = 0, nat = 4, ntyp = 4
/
ATOMIC_SPECIES
Li 6.94 Li.upf
Cd 112.41 Cd.upf
Hg 200.59 Hg.upf
As 74.92 As.upf
CELL_PARAMETERS angstrom
0.000 3.458 3.458
3.458 0.000 3.458
3.458 3.458 0.000
ATOMIC_POSITIONS angstrom
Li 0.000 0.000 0.000
Cd 3.458 3.458 3.458
Hg 5.188 5.188 5.188
As 1.729 1.729 1.729



4.
! Pu3MnSn PBE optimized geometry; values from VASP
! energy: -11.277 eV/atom
! formation enthalpy at 0 K: -0.219 eV/f.u.
! total magnetic moment: 14.7 μB per cell
! DOS(E_F): 22.797 states/eV/f.u.
&SYSTEM
  ibrav = 0, nat = 5, ntyp = 3
/
ATOMIC_SPECIES
Pu 244.00 Pu.upf
Mn 54.94 Mn.upf
Sn 118.71 Sn.upf
CELL_PARAMETERS angstrom
4.973 0.000 0.000
0.000 4.973 0.000
0.000 0.000 4.973
ATOMIC_POSITIONS angstrom
Pu 0.000 0.000 2.486
Pu 0.000 2.486 0.000
Pu 2.486 0.000 0.000
Mn 0.000 0.000 0.000
Sn 2.486 2.486 2.486



> Among the records above, which one has the highest energy?

LiCdHgAs



> Look up the total magnetic moment of the fourth one.

14.7 μB per cell